Entry from Alexandria via LeMat-Bulk: an optimized crystal structure of Na2CrP2O6 (PBE+U).

Values from the calculation:
Total magnetization: 4.00 μB/f.u.
E: -6.569 eV/atom
Volume: 13.4 Å³ per atom

Unit cell a=5.4569 b=5.4569 c=17.1710 alpha=90.00 beta=90.00 gamma=120.00
Last column: nearest neighbours and their distance in Å.
Space group R-3m (No. 166, hexagonal axes)
Symmetry-distinct sites (fractional):
1 Na 0.0000 0.0000 0.2014  9 O 2.64-2.86
2 Cr 0.0000 0.0000 0.0000  6 O 2.17
3 P 0.0000 0.0000 0.4369  3 O 1.54
4 O 0.0169 0.5085 0.2518  1 P 1.54